Version i
Nb3TcSb: optimized geometry, PBE.

Geometry as extended XYZ:
```
5
Lattice="4.837 0.000 0.000 0.000 4.837 0.000 0.000 0.000 4.837" Properties=species:S:1:pos:R:3 pbc="T T T"
Sb 2.419 2.419 2.419
Nb 0.000 2.419 0.000
Nb 0.000 0.000 2.419
Nb 2.419 0.000 0.000
Tc 0.000 0.000 0.000
```

Computed properties:
The value obtained for the total magnetization is 0.0 μB per cell.

Version ii
Nb3TcSb: optimized geometry, PBE.

Geometry as extended XYZ:
```
5
Lattice="-1.391 2.265 4.199 3.519 -2.467 2.496 3.222 3.672 -0.913" Properties=species:S:1:pos:R:3 pbc="T T T"
Sb 0.000 0.000 0.000
Nb 1.760 -1.233 1.248
Nb 1.611 1.836 -0.457
Nb -0.695 1.132 2.100
Tc 2.675 1.735 2.891
```

Computed properties:
The value obtained for the total magnetization is 1.0 μB per cell.

Most favorable first, least favorable last: version i, version ii

Version i
NbSbTe: optimized geometry, PBE.

Geometry as extended XYZ:
```
12
Lattice="5.788 0.000 0.000 0.000 7.316 0.875 0.000 -2.320 6.534" Properties=species:S:1:pos:R:3 pbc="T T T"
Sb 5.026 6.228 1.703
Sb 3.656 5.069 4.970
Sb 0.762 -1.232 5.705
Sb 2.132 -0.072 2.438
Nb 2.344 3.654 7.070
Nb 3.444 1.342 0.339
Nb 5.238 0.182 3.606
Nb 0.550 4.814 3.803
Te 2.424 3.595 2.031
Te 3.364 1.401 5.377
Te 0.470 2.435 5.298
Te 5.318 2.561 2.110
```

Computed properties:
The value obtained for the total magnetization is 0.0 μB per cell.

Version ii
NbSbTe: optimized geometry, PBE.

Geometry as extended XYZ:
```
6
Lattice="3.691 0.191 -0.002 -0.303 6.002 0.138 -1.700 -2.923 6.515" Properties=species:S:1:pos:R:3 pbc="T T T"
Nb -0.724 -0.950 3.357
Nb -0.700 -1.363 6.546
Sb 0.910 3.410 4.920
Sb 1.054 0.469 5.119
Te 2.833 1.905 2.203
Te 0.831 4.897 1.320
```

Computed properties:
The value obtained for the total magnetization is 0.0 μB per cell.

Most favorable first, least favorable last: version ii, version i

Version i
Nb2SbTe: optimized geometry, PBE.

Geometry as extended XYZ:
```
8
Lattice="-3.969 3.427 -3.904 -0.855 -5.277 -3.763 -7.130 -2.558 -0.471" Properties=species:S:1:pos:R:3 pbc="T T T"
Sb -2.412 -0.925 -3.834
Sb -5.198 -4.380 -4.034
Nb -4.368 0.841 -3.026
Nb -2.815 -3.507 -2.960
Nb -7.157 -2.615 -3.231
Nb -9.568 -3.534 -7.060
Te 0.000 0.000 0.000
Te -6.756 -0.028 -4.104
```

Computed properties:
The value obtained for the total magnetization is 7.6 μB per cell.

Version ii
Nb2SbTe: optimized geometry, PBE.

Geometry as extended XYZ:
```
4
Lattice="-2.317 -4.040 1.328 0.545 -1.740 4.487 -3.670 0.238 3.152" Properties=species:S:1:pos:R:3 pbc="T T T"
Sb 0.000 0.000 0.000
Nb -1.360 -1.386 2.242
Nb -4.081 -4.157 6.725
Te -2.721 -2.771 4.484
```

Computed properties:
The value obtained for the total magnetization is 0.0 μB per cell.

Most favorable first, least favorable last: version ii, version i

Version i
NbSb3Te: optimized geometry, PBE.

Geometry as extended XYZ:
```
5
Lattice="5.541 0.000 0.000 0.000 5.541 0.000 0.000 0.000 5.541" Properties=species:S:1:pos:R:3 pbc="T T T"
Sb 0.000 2.770 0.000
Sb 0.000 0.000 2.770
Sb 2.770 0.000 0.000
Nb 2.770 2.770 2.770
Te 0.000 0.000 0.000
```

Computed properties:
The value obtained for the total magnetization is 0.0 μB per cell.

Version ii
NbSb3Te: optimized geometry, PBE.

Geometry as extended XYZ:
```
5
Lattice="5.360 0.000 0.000 0.000 5.360 0.000 0.000 0.000 5.360" Properties=species:S:1:pos:R:3 pbc="T T T"
Sb 0.000 2.680 0.000
Sb 0.000 0.000 2.680
Sb 2.680 0.000 0.000
Nb 0.000 0.000 0.000
Te 2.680 2.680 2.680
```

Computed properties:
The value obtained for the total magnetization is 0.0 μB per cell.

Most favorable first, least favorable last: version ii, version i